# 1
Below is a relaxed CaAcTmAl crystal, with properties calculated at the PBE level.

Cell lengths 5.591, 5.591, 5.591 Å; angles 60.00, 60.00, 60.00 degrees
Fractional coordinates of all 4 atoms:
1 Ca 0.750 0.750 0.750
2 Tm 0.000 0.000 0.000
3 Ac 0.500 0.500 0.500
4 Al 0.250 0.250 0.250

Properties
- Theoretical density: 6.22 g cm⁻³
- Total DFT energy (no corrections): -14.29 eV/f.u.
- Calculated volume: 123.6 Å³/cell



# 2
Below is a relaxed CaAcYAl crystal, with properties calculated at the PBE level.

Cell lengths 5.624, 5.624, 5.624 Å; angles 60.00, 60.00, 60.00 degrees
Fractional coordinates of all 4 atoms:
1 Y 0.500 0.500 0.500
2 Ca 0.750 0.750 0.750
3 Al 0.250 0.250 0.250
4 Ac 0.000 0.000 0.000

Properties
- Theoretical density: 5.06 g cm⁻³
- Total DFT energy (no corrections): -16.41 eV/f.u.
- Calculated volume: 125.8 Å³/cell



# 3
Below is a relaxed CaAc2Al4Zn3 crystal, with properties calculated at the PBE level.

Cell lengths 4.490, 4.490, 11.902 Å; angles 90.00, 90.00, 90.00 degrees
Fractional coordinates of all 10 atoms:
1 Al 0.500 0.500 0.000
2 Ac 0.000 0.500 0.774
3 Ac 0.500 0.000 0.226
4 Al 0.000 0.000 0.000
5 Zn 0.000 0.500 0.120
6 Al 0.000 0.500 0.337
7 Al 0.500 0.000 0.663
8 Ca 0.500 0.500 0.500
9 Zn 0.000 0.000 0.500
10 Zn 0.500 0.000 0.880

Properties
- Theoretical density: 5.52 g cm⁻³
- Total DFT energy (no corrections): -31.70 eV/f.u.
- Calculated volume: 240.0 Å³/cell



# 4
Below is a relaxed Ca2AcAl2Zn2 crystal, with properties calculated at the PBE level.

Cell lengths 4.630, 4.630, 10.489 Å; angles 77.25, 77.25, 60.00 degrees
Fractional coordinates of all 7 atoms:
1 Al 0.260 0.260 0.220
2 Zn 0.404 0.404 0.787
3 Ca 0.873 0.873 0.381
4 Ca 0.127 0.127 0.619
5 Ac 0.000 0.000 0.000
6 Al 0.740 0.740 0.780
7 Zn 0.596 0.596 0.213

Properties
- Theoretical density: 4.34 g cm⁻³
- Total DFT energy (no corrections): -20.05 eV/f.u.
- Calculated volume: 188.3 Å³/cell



# 5
Below is a relaxed CaAc2Al3Zn4 crystal, with properties calculated at the PBE level.

Cell lengths 4.557, 4.557, 11.412 Å; angles 90.00, 90.00, 90.00 degrees
Fractional coordinates of all 10 atoms:
1 Ac 0.500 0.000 0.223
2 Al 0.000 0.000 0.500
3 Zn 0.000 0.000 0.000
4 Ac 0.000 0.500 0.777
5 Al 0.000 0.500 0.119
6 Zn 0.500 0.500 0.000
7 Ca 0.500 0.500 0.500
8 Zn 0.000 0.500 0.343
9 Zn 0.500 0.000 0.657
10 Al 0.500 0.000 0.881

Properties
- Theoretical density: 5.86 g cm⁻³
- Total DFT energy (no corrections): -29.48 eV/f.u.
- Calculated volume: 237.0 Å³/cell



# 6
Below is a relaxed CaAcAl2Zn2 crystal, with properties calculated at the PBE level.

Cell lengths 4.599, 4.599, 7.904 Å; angles 90.00, 90.00, 120.00 degrees
Fractional coordinates of all 6 atoms:
1 Ca 0.000 0.000 0.500
2 Zn 0.333 0.667 0.715
3 Al 0.333 0.667 0.277
4 Ac 0.000 0.000 0.000
5 Al 0.667 0.333 0.723
6 Zn 0.667 0.333 0.285

Properties
- Theoretical density: 5.18 g cm⁻³
- Total DFT energy (no corrections): -18.08 eV/f.u.
- Calculated volume: 144.8 Å³/cell